This record from the Alexandria database describes a geometry-optimized Sr5Hg3 structure. The functional is PBEsol.

Output
E: -1.7822 eV per atom
magnetic moment: 0.001 μB/cell
space group: P6_3/mcm (193)
formation enthalpy at 0 K: -419 meV/atom

Unit cell a=7.0502 b=9.6700 c=9.6700 alpha=120.00 beta=90.00 gamma=90.00
Closest atoms and distances in Å follow each position.
Fractional coordinates of all 16 atoms:
1 Hg 0.7500 0.3945 0.3945  7 Sr 3.35-3.46
2 Hg 0.2500 0.6055 0.6055  7 Sr 3.35-3.46
3 Hg 0.7500 0.0000 0.6055  7 Sr 3.35-3.46
4 Hg 0.7500 0.6055 0.0000  7 Sr 3.35-3.46
5 Hg 0.2500 0.3945 0.0000  7 Sr 3.35-3.46
6 Hg 0.2500 0.0000 0.3945  7 Sr 3.35-3.46
7 Sr 0.0000 0.6667 0.3333  6 Hg 3.46, 2 Sr 3.53
8 Sr 0.5000 0.3333 0.6667  6 Hg 3.46, 2 Sr 3.53
9 Sr 0.0000 0.3333 0.6667  6 Hg 3.46, 2 Sr 3.53
10 Sr 0.5000 0.6667 0.3333  6 Hg 3.46, 2 Sr 3.53
11 Sr 0.7500 0.7411 0.7411  3 Hg 3.35-3.36
12 Sr 0.2500 0.2589 0.2589  3 Hg 3.35-3.36
13 Sr 0.7500 0.0000 0.2589  3 Hg 3.35-3.36
14 Sr 0.7500 0.2589 0.0000  3 Hg 3.35-3.36
15 Sr 0.2500 0.7411 0.0000  3 Hg 3.35-3.36
16 Sr 0.2500 0.0000 0.7411  3 Hg 3.35-3.36

***

This record from the Alexandria database describes a geometry-optimized Cd2TcOs structure. The functional is PBEsol.

Output
E: -5.9004 eV per atom
magnetic moment: 0.000 μB/cell
space group: Imm2 (44)
formation enthalpy at 0 K: 569 meV/atom

Unit cell a=2.8640 b=4.8146 c=5.6290 alpha=115.32 beta=104.74 gamma=90.00
Closest atoms and distances in Å follow each position.
Fractional coordinates of all 4 atoms:
1 Cd 0.9879 0.9879 0.9759  4 Os 2.82, 4 Cd 2.86-3.05, 2 Tc 2.91
2 Cd 0.7639 0.2639 0.5278  4 Tc 2.82, 4 Cd 2.86-3.05, 2 Os 2.88
3 Os 0.5203 0.5203 0.0405  2 Tc 2.48
4 Tc 0.2279 0.7279 0.4558  2 Os 2.48

***

This record from the Alexandria database describes a geometry-optimized PrSnIr structure. The functional is PBEsol.

Output
E: -7.1953 eV per atom
magnetic moment: 0.000 μB/cell
space group: P-62m (189)
formation enthalpy at 0 K: -773 meV/atom

Unit cell a=4.1626 b=7.4019 c=7.4019 alpha=120.00 beta=90.00 gamma=90.00
Closest atoms and distances in Å follow each position.
Fractional coordinates of all 9 atoms:
1 Pr 0.5000 0.5862 0.0000  5 Ir 3.05-3.06, 6 Sn 3.25-3.39
2 Pr 0.5000 0.4138 0.4138  5 Ir 3.05-3.06, 6 Sn 3.25-3.39
3 Pr 0.5000 0.0000 0.5862  5 Ir 3.05-3.06, 6 Sn 3.25-3.39
4 Ir 0.0000 0.3333 0.6667  3 Sn 2.83, 6 Pr 3.05
5 Ir 0.0000 0.6667 0.3333  3 Sn 2.83, 6 Pr 3.05
6 Ir 0.5000 0.0000 0.0000  6 Sn 2.78, 3 Pr 3.06
7 Sn 0.0000 0.0000 0.2495  4 Ir 2.78-2.83
8 Sn 0.0000 0.7505 0.7505  4 Ir 2.78-2.83
9 Sn 0.0000 0.2495 0.0000  4 Ir 2.78-2.83

***

This record from the Alexandria database describes a geometry-optimized RbSr3Ca structure. The functional is PBEsol.

Output
E: -1.2532 eV per atom
magnetic moment: 1.115 μB/cell
space group: Pm-3m (221)
formation enthalpy at 0 K: 483 meV/atom

Unit cell a=7.0441 b=7.0441 c=7.0441 alpha=90.00 beta=90.00 gamma=90.00
Closest atoms and distances in Å follow each position.
Fractional coordinates of all 5 atoms:
1 Sr 0.0000 0.5000 0.0000  2 Ca 3.52
2 Sr 0.0000 0.0000 0.5000  2 Ca 3.52
3 Sr 0.5000 0.0000 0.0000  2 Ca 3.52
4 Ca 0.0000 0.0000 0.0000  6 Sr 3.52
5 Rb 0.5000 0.5000 0.5000  12 Sr 4.98

***

This record from the Alexandria database describes a geometry-optimized InCoRe2 structure. The functional is PBEsol.

Output
E: -8.5702 eV per atom
magnetic moment: 1.320 μB/cell
space group: P4/mmm (123)
formation enthalpy at 0 K: 776 meV/atom

Unit cell a=2.8695 b=4.5309 c=4.5309 alpha=90.00 beta=90.00 gamma=90.00
Closest atoms and distances in Å follow each position.
Fractional coordinates of all 4 atoms:
1 Re 0.0000 0.0000 0.5000  4 In 2.68, 4 Co 2.68, 2 Re 2.87
2 Re 0.0000 0.5000 0.0000  4 In 2.68, 4 Co 2.68, 2 Re 2.87
3 Co 0.5000 0.5000 0.5000  8 Re 2.68, 2 Co 2.87
4 In 0.5000 0.0000 0.0000  8 Re 2.68, 2 In 2.87

***

This record from the Alexandria database describes a geometry-optimized CuNi2Rh structure. The functional is PBEsol.

Output
E: -6.1407 eV per atom
magnetic moment: 1.557 μB/cell
space group: Cm (8)
formation enthalpy at 0 K: 56 meV/atom

Unit cell a=2.5650 b=4.3588 c=4.3831 alpha=100.34 beta=107.01 gamma=90.00
Closest atoms and distances in Å follow each position.
Fractional coordinates of all 4 atoms:
1 Ni 0.9978 0.0039 0.9955  3 Cu 2.50, 5 Ni 2.50-2.58, 4 Rh 2.52-2.54
2 Ni 0.2520 0.7492 0.5039  4 Cu 2.49-2.57, 5 Ni 2.50-2.58, 3 Rh 2.51-2.52
3 Rh 0.5027 0.5092 0.0055  7 Ni 2.51-2.54, 3 Cu 2.55-2.58, 2 Rh 2.56
4 Cu 0.7475 0.2377 0.4951  7 Ni 2.49-2.57, 3 Rh 2.55-2.58, 2 Cu 2.56

***

This record from the Alexandria database describes a geometry-optimized TeH2I structure. The functional is PBEsol.

Output
E: -2.6732 eV per atom
magnetic moment: 0.000 μB/cell
space group: I4_1/amd (141)

Unit cell a=5.5677 b=6.4671 c=5.5677 alpha=64.50 beta=90.00 gamma=115.50
Closest atoms and distances in Å follow each position.
Fractional coordinates of all 8 atoms:
1 I 0.0000 0.0000 0.0000  8 H 3.37
2 I 0.7500 0.5000 0.7500  8 H 3.37
3 H 0.3750 0.2500 0.3750  2 Te 1.89
4 H 0.8750 0.2500 0.3750  2 Te 1.89
5 H 0.3750 0.7500 0.3750  2 Te 1.89
6 H 0.3750 0.7500 0.8750  2 Te 1.89
7 Te 0.5000 0.0000 0.5000  4 H 1.89
8 Te 0.2500 0.5000 0.2500  4 H 1.89

***

This record from the Alexandria database describes a geometry-optimized LiAgSe2 structure. The functional is PBEsol.

Output
E: -3.6690 eV per atom
magnetic moment: 0.000 μB/cell
uncorrected formation energy: -0.4244 eV/atom
space group: C2/m (12)

Unit cell a=3.7948 b=4.4482 c=5.9991 alpha=73.72 beta=71.56 gamma=64.75
Closest atoms and distances in Å follow each position.
Fractional coordinates of all 4 atoms:
1 Ag 0.5000 0.5000 0.5000  4 Se 2.51
2 Se 0.8692 0.4708 0.7909  2 Ag 2.51, 3 Li 2.61-2.80
3 Se 0.1308 0.5292 0.2091  2 Ag 2.51, 3 Li 2.61-2.80
4 Li 0.5000 0.0000 0.0000  6 Se 2.61-2.80

***

This record from the Alexandria database describes a geometry-optimized LiZnAsSe2 structure. The functional is PBEsol.

Output
E: -3.0999 eV per atom
magnetic moment: 0.000 μB/cell
uncorrected formation energy: 0.1712 eV/atom
space group: P4/mmm (123)

Unit cell a=4.6579 b=5.0198 c=5.0198 alpha=90.00 beta=90.00 gamma=90.00
Closest atoms and distances in Å follow each position.
Fractional coordinates of all 5 atoms:
1 As 0.5000 0.0000 0.0000  2 Zn 2.33
2 Zn 0.0000 0.0000 0.0000  2 As 2.33, 4 Se 2.51
3 Se 0.0000 0.0000 0.5000  2 Zn 2.51
4 Se 0.0000 0.5000 0.0000  2 Zn 2.51
5 Li 0.5000 0.5000 0.5000  8 Se 3.42, 4 As 3.55

***

This record from the Alexandria database describes a geometry-optimized MnSi2 structure. The functional is PBEsol.

Output
E: -7.2584 eV per atom
magnetic moment: 0.528 μB/cell
uncorrected formation energy: -0.1735 eV/atom
space group: I4_1/amd (141)

Unit cell a=2.6764 b=2.6764 c=10.4765 alpha=97.34 beta=97.34 gamma=90.00
Closest atoms and distances in Å follow each position.
Fractional coordinates of all 6 atoms:
1 Mn 0.2500 0.7500 0.5000  8 Si 2.39
2 Mn 0.0000 0.0000 0.0000  8 Si 2.39
3 Si 0.8205 0.3205 0.6409  4 Mn 2.39, 2 Si 2.62
4 Si 0.4295 0.4295 0.8591  4 Mn 2.39, 2 Si 2.62
5 Si 0.6795 0.1795 0.3591  4 Mn 2.39, 2 Si 2.62
6 Si 0.5705 0.5705 0.1409  4 Mn 2.39, 2 Si 2.62

***

This record from the Alexandria database describes a geometry-optimized NaLiCl2 structure. The functional is PBEsol.

Output
E: -3.3431 eV per atom
magnetic moment: 0.000 μB/cell
uncorrected formation energy: -1.4975 eV/atom
space group: R-3m (166)

Unit cell a=3.8821 b=3.8821 c=7.9112 alpha=75.80 beta=75.80 gamma=60.00
Closest atoms and distances in Å follow each position.
Fractional coordinates of all 4 atoms:
1 Na 0.0000 0.0000 0.0000  2 Cl 2.45
2 Cl 0.8922 0.8922 0.3233  1 Na 2.45, 3 Li 2.61
3 Cl 0.1078 0.1078 0.6767  1 Na 2.45, 3 Li 2.61
4 Li 0.5000 0.5000 0.5000  6 Cl 2.61

***

This record from the Alexandria database describes a geometry-optimized Sc3TaSi structure. The functional is PBEsol.

Output
E: -7.0544 eV per atom
magnetic moment: 3.115 μB/cell
uncorrected formation energy: 0.5682 eV/atom
space group: Pm-3m (221)

Unit cell a=4.8922 b=4.8922 c=4.8922 alpha=90.00 beta=90.00 gamma=90.00
Closest atoms and distances in Å follow each position.
Fractional coordinates of all 5 atoms:
1 Sc 0.0000 0.5000 0.0000  2 Si 2.45
2 Sc 0.0000 0.0000 0.5000  2 Si 2.45
3 Sc 0.5000 0.0000 0.0000  2 Si 2.45
4 Si 0.0000 0.0000 0.0000  6 Sc 2.45
5 Ta 0.5000 0.5000 0.5000  12 Sc 3.46

***

This record from the Alexandria database describes a geometry-optimized LiSi2Ni structure. The functional is PBEsol.

Output
E: -5.1144 eV per atom
magnetic moment: 0.000 μB/cell
uncorrected formation energy: -0.2100 eV/atom
space group: Cm (8)

Unit cell a=2.6624 b=4.2201 c=4.4293 alpha=96.53 beta=107.49 gamma=90.00
Closest atoms and distances in Å follow each position.
Fractional coordinates of all 4 atoms:
1 Li 0.4967 0.5015 0.9935  7 Si 2.42-2.62, 3 Ni 2.48-2.64, 2 Li 2.66
2 Ni 0.7447 0.2407 0.4894  3 Li 2.48-2.64, 7 Si 2.49-2.52, 2 Ni 2.66
3 Si 0.0078 0.0164 0.0156  4 Li 2.45-2.54, 5 Si 2.48-2.69, 3 Ni 2.49-2.52
4 Si 0.2507 0.7414 0.5015  3 Li 2.42-2.62, 5 Si 2.48-2.69, 4 Ni 2.49-2.50

***

This record from the Alexandria database describes a geometry-optimized Li3FeF6 structure. The functional is PBEsol.

Output
E: -5.2413 eV per atom
magnetic moment: 6.000 μB/cell
uncorrected formation energy: -2.5985 eV/atom
space group: R-3 (148)

Unit cell a=5.8852 b=5.8852 c=5.8852 alpha=90.63 beta=90.63 gamma=90.63
Closest atoms and distances in Å follow each position.
Fractional coordinates of all 20 atoms:
1 Li 0.9365 0.4474 0.7545  4 F 1.94-2.08
2 Li 0.5526 0.2455 0.0635  4 F 1.94-2.08
3 Li 0.2455 0.0635 0.5526  4 F 1.94-2.08
4 Li 0.7545 0.9365 0.4474  4 F 1.94-2.08
5 Li 0.4474 0.7545 0.9365  4 F 1.94-2.08
6 Li 0.0635 0.5526 0.2455  4 F 1.94-2.08
7 Fe 0.0000 0.0000 0.0000  6 F 1.84
8 Fe 0.5000 0.5000 0.5000  6 F 1.94
9 F 0.9275 0.0635 0.7021  1 Fe 1.84, 1 Li 1.94
10 F 0.9365 0.2979 0.0725  1 Fe 1.84, 1 Li 1.94
11 F 0.5544 0.1909 0.3962  2 Li 1.94-1.99, 1 Fe 1.94
12 F 0.2979 0.0725 0.9365  1 Fe 1.84, 1 Li 1.94
13 F 0.8091 0.6038 0.4456  2 Li 1.94-1.99, 1 Fe 1.94
14 F 0.6038 0.4456 0.8091  2 Li 1.94-1.99, 1 Fe 1.94
15 F 0.3962 0.5544 0.1909  2 Li 1.94-1.99, 1 Fe 1.94
16 F 0.1909 0.3962 0.5544  2 Li 1.94-1.99, 1 Fe 1.94
17 F 0.7021 0.9275 0.0635  1 Fe 1.84, 1 Li 1.94
18 F 0.4456 0.8091 0.6038  2 Li 1.94-1.99, 1 Fe 1.94
19 F 0.0635 0.7021 0.9275  1 Fe 1.84, 1 Li 1.94
20 F 0.0725 0.9365 0.2979  1 Fe 1.84, 1 Li 1.94

***

This record from the Alexandria database describes a geometry-optimized YAs2Pb structure. The functional is PBEsol.

Output
E: -5.6814 eV per atom
magnetic moment: 0.000 μB/cell
space group: C2/m (12)
formation enthalpy at 0 K: -423 meV/atom

Unit cell a=3.6482 b=5.2932 c=5.8533 alpha=112.08 beta=90.00 gamma=110.16
Closest atoms and distances in Å follow each position.
Fractional coordinates of all 4 atoms:
1 Pb 0.5000 0.0000 0.0000  4 As 3.04
2 Y 0.0000 0.0000 0.5000  6 As 2.94-2.99
3 As 0.7536 0.5071 0.6710  2 As 2.69, 3 Y 2.94-2.99
4 As 0.2464 0.4929 0.3290  2 As 2.69, 3 Y 2.94-2.99

***

This record from the Alexandria database describes a geometry-optimized Sc3FePt structure. The functional is PBEsol.

Output
E: -7.2524 eV per atom
magnetic moment: 0.000 μB/cell
space group: Pm-3m (221)
formation enthalpy at 0 K: -104 meV/atom

Unit cell a=4.6038 b=4.6038 c=4.6038 alpha=90.00 beta=90.00 gamma=90.00
Closest atoms and distances in Å follow each position.
Fractional coordinates of all 5 atoms:
1 Sc 0.0000 0.5000 0.0000  2 Fe 2.30
2 Sc 0.0000 0.0000 0.5000  2 Fe 2.30
3 Sc 0.5000 0.0000 0.0000  2 Fe 2.30
4 Fe 0.0000 0.0000 0.0000  6 Sc 2.30
5 Pt 0.5000 0.5000 0.5000  12 Sc 3.26

***

This record from the Alexandria database describes a geometry-optimized CrSb structure. The functional is PBEsol.

Output
E: -7.2526 eV per atom
magnetic moment: 5.248 μB/cell
uncorrected formation energy: 0.1471 eV/atom
space group: P6_3/mmc (194)

Unit cell a=3.9441 b=3.9441 c=5.7374 alpha=90.00 beta=90.00 gamma=120.00
Closest atoms and distances in Å follow each position.
Fractional coordinates of all 4 atoms:
1 Sb 0.6667 0.3333 0.7500  6 Cr 2.69
2 Sb 0.3333 0.6667 0.2500  6 Cr 2.69
3 Cr 0.0000 0.0000 0.0000  6 Sb 2.69, 2 Cr 2.87
4 Cr 0.0000 0.0000 0.5000  6 Sb 2.69, 2 Cr 2.87

***

This record from the Alexandria database describes a geometry-optimized YHfGa2 structure. The functional is PBEsol.

Output
E: -6.4243 eV per atom
magnetic moment: 0.000 μB/cell
space group: Fm-3m (225)
formation enthalpy at 0 K: -423 meV/atom

Unit cell a=4.8168 b=4.8168 c=4.8168 alpha=60.00 beta=60.00 gamma=60.00
Closest atoms and distances in Å follow each position.
Fractional coordinates of all 4 atoms:
1 Y 0.0000 0.0000 0.0000  8 Ga 2.95
2 Hf 0.5000 0.5000 0.5000  8 Ga 2.95
3 Ga 0.2500 0.2500 0.2500  4 Hf 2.95, 4 Y 2.95
4 Ga 0.7500 0.7500 0.7500  4 Hf 2.95, 4 Y 2.95

***

This record from the Alexandria database describes a geometry-optimized Mg2AgMo structure. The functional is PBEsol.

Output
E: -4.1776 eV per atom
magnetic moment: 2.229 μB/cell
space group: Fm-3m (225)
formation enthalpy at 0 K: 451 meV/atom

Unit cell a=4.6087 b=4.6087 c=4.6087 alpha=60.00 beta=60.00 gamma=60.00
Closest atoms and distances in Å follow each position.
Fractional coordinates of all 4 atoms:
1 Ag 0.5000 0.5000 0.5000  8 Mg 2.82
2 Mg 0.2500 0.2500 0.2500  4 Ag 2.82, 4 Mo 2.82
3 Mg 0.7500 0.7500 0.7500  4 Mo 2.82, 4 Ag 2.82
4 Mo 0.0000 0.0000 0.0000  8 Mg 2.82

***

This record from the Alexandria database describes a geometry-optimized Ba2Ge2Bi structure. The functional is PBEsol.

Output
E: -4.3050 eV per atom
magnetic moment: 0.000 μB/cell
space group: P4/mbm (127)
formation enthalpy at 0 K: -613 meV/atom

Unit cell a=4.9236 b=7.9648 c=7.9648 alpha=90.00 beta=90.00 gamma=90.00
Closest atoms and distances in Å follow each position.
Fractional coordinates of all 10 atoms:
1 Ge 0.0000 0.3880 0.8880  1 Ge 2.52
2 Ge 0.0000 0.8880 0.6120  1 Ge 2.52
3 Ge 0.0000 0.6120 0.1120  1 Ge 2.52
4 Ge 0.0000 0.1120 0.3880  1 Ge 2.52
5 Bi 0.0000 0.0000 0.0000  4 Ge 3.22
6 Bi 0.0000 0.5000 0.5000  4 Ge 3.22
7 Ba 0.5000 0.1808 0.6808  6 Ge 3.39-3.43
8 Ba 0.5000 0.6808 0.8192  6 Ge 3.39-3.43
9 Ba 0.5000 0.8192 0.3192  6 Ge 3.39-3.43
10 Ba 0.5000 0.3192 0.1808  6 Ge 3.39-3.43